Density functional theory data (PBE-GGA) for a relaxed structure of ZnReNiPd.

Properties
Crystal system = cubic
Calculated formation energy = 0.26 eV per atom
Final energy = -5.8428 eV per atom
Space-group type = F-43m

Unit cell a=4.2782 b=4.2782 c=4.2782 alpha=60.00 beta=60.00 gamma=60.00
Positions (direct):
Zn: 0.0000 0.0000 0.0000
Re: 0.5000 0.5000 0.5000
Ni: 0.2500 0.2500 0.2500
Pd: 0.7500 0.7500 0.7500


Density functional theory data (PBE-GGA) for a relaxed structure of TbHo2In3CuPt2.

Properties
Crystal system = orthorhombic
Final energy = -5.0428 eV per atom
Space-group type = Amm2

Unit cell a=3.7344 b=7.7379 c=7.7379 alpha=120.07 beta=90.00 gamma=90.00
Positions (direct):
Tb: 0.0000 0.0000 0.0000
Ho: 0.0000 0.1765 0.5883
Ho: 0.0000 0.5883 0.1765
In: 0.5000 0.3341 0.3341
In: 0.5000 0.5878 0.8426
In: 0.5000 0.8426 0.5878
Cu: 0.0000 0.5878 0.5878
Pt: 0.5000 0.2565 0.9209
Pt: 0.5000 0.9209 0.2565


Density functional theory data (PBE-GGA) for a relaxed structure of AlZn.

Properties
Crystal system = monoclinic
Final energy = -2.4385 eV per atom
Space-group type = Pm

Unit cell a=4.8329 b=4.6876 c=7.3996 alpha=90.00 beta=108.57 gamma=90.00
Positions (direct):
Al: 0.0000 0.0000 0.0000
Al: 0.0592 0.5000 0.7985
Al: 0.2612 0.5000 0.2024
Al: 0.3997 0.0000 0.7986
Al: 0.6012 0.0000 0.2019
Zn: 0.1948 0.0000 0.4014
Zn: 0.4619 0.5000 0.5985
Zn: 0.6611 0.5000 0.0006
Zn: 0.7936 0.0000 0.5986
Zn: 0.8639 0.5000 0.4027


Density functional theory data (PBE-GGA) for a relaxed structure of MgBe2Pt2.

Properties
Crystal system = tetragonal
Energy above the most stable polymorph in this dataset = 0.89 eV/f.u.
Final energy = -4.8162 eV per atom
Space-group type = I4/mmm

Unit cell a=5.3019 b=5.3019 c=5.3019 alpha=136.22 beta=136.22 gamma=63.64
Positions (direct):
Mg: 0.0000 0.0000 0.0000
Be: 0.3757 0.3757 0.0000
Be: 0.6243 0.6243 0.0000
Pt: 0.2500 0.7500 0.5000
Pt: 0.7500 0.2500 0.5000


Density functional theory data (PBE-GGA) for a relaxed structure of SrErW.

Properties
Crystal system = cubic
Final energy = -4.7146 eV per atom
Space-group type = F-43m

Unit cell a=5.1232 b=5.1232 c=5.1232 alpha=60.00 beta=60.00 gamma=60.00
Positions (direct):
Sr: 0.0000 0.0000 0.0000
Er: 0.2500 0.2500 0.2500
W: 0.5000 0.5000 0.5000


Density functional theory data (PBE-GGA) for a relaxed structure of TlCdPt2.

Properties
Crystal system = cubic
Final energy = -3.7926 eV per atom
Space-group type = F-43m

Unit cell a=4.7205 b=4.7205 c=4.7205 alpha=60.00 beta=60.00 gamma=60.00
Positions (direct):
Tl: 0.0000 0.0000 0.0000
Cd: 0.2500 0.2500 0.2500
Pt: 0.5000 0.5000 0.5000
Pt: 0.7500 0.7500 0.7500


Density functional theory data (PBE-GGA) for a relaxed structure of TmNbIn.

Properties
Crystal system = cubic
Energy above the most stable polymorph in this dataset = 0.00 eV/f.u.
Final energy = -5.1440 eV per atom
Space-group type = F-43m

Unit cell a=4.8791 b=4.8791 c=4.8791 alpha=60.00 beta=60.00 gamma=60.00
Positions (direct):
Tm: 0.0000 0.0000 0.0000
Nb: 0.2500 0.2500 0.2500
In: 0.5000 0.5000 0.5000


Density functional theory data (PBE-GGA) for a relaxed structure of NdZnFe.

Properties
Crystal system = cubic
Calculated formation energy = 0.42 eV per atom
Final energy = -4.3633 eV per atom
Space-group type = F-43m

Unit cell a=4.4861 b=4.4861 c=4.4861 alpha=60.00 beta=60.00 gamma=60.00
Positions (direct):
Nd: 0.0000 0.0000 0.0000
Zn: 0.7500 0.7500 0.7500
Fe: 0.5000 0.5000 0.5000


Density functional theory data (PBE-GGA) for a relaxed structure of Na3H6Ir.

Properties
Crystal system = cubic
Energy above the most stable polymorph in this dataset = 0.32 eV/f.u.
Final energy = -3.6440 eV per atom
Space-group type = Fm-3m

Unit cell a=5.2256 b=5.2256 c=5.2256 alpha=60.00 beta=60.00 gamma=60.00
Positions (direct):
Na: 0.0000 0.0000 0.0000
Na: 0.2500 0.2500 0.2500
Na: 0.7500 0.7500 0.7500
H: 0.2754 0.2754 0.7246
H: 0.2754 0.7246 0.2754
H: 0.2754 0.7246 0.7246
H: 0.7246 0.2754 0.2754
H: 0.7246 0.2754 0.7246
H: 0.7246 0.7246 0.2754
Ir: 0.5000 0.5000 0.5000


Density functional theory data (PBE-GGA) for a relaxed structure of LiGdHgTe3.

Properties
Crystal system = orthorhombic
Energy above the most stable polymorph in this dataset = 0.00 eV/f.u.
Final energy = -3.5359 eV per atom
Space-group type = Cmcm

Unit cell a=7.6797 b=7.6797 c=11.6219 alpha=90.00 beta=90.00 gamma=147.30
Positions (direct):
Li: 0.1940 0.8060 0.7500
Li: 0.8060 0.1940 0.2500
Gd: 0.0000 0.0000 0.0000
Gd: 0.0000 0.0000 0.5000
Hg: 0.4781 0.5219 0.2500
Hg: 0.5219 0.4781 0.7500
Te: 0.1032 0.8968 0.2500
Te: 0.3544 0.6456 0.0628
Te: 0.3544 0.6456 0.4372
Te: 0.6456 0.3544 0.5628
Te: 0.6456 0.3544 0.9372
Te: 0.8968 0.1032 0.7500


Density functional theory data (PBE-GGA) for a relaxed structure of NaSnTe2AuSe.

Properties
Crystal system = orthorhombic
Final energy = -3.3799 eV per atom
Space-group type = Cmcm

Unit cell a=7.0049 b=7.0049 c=11.5439 alpha=90.00 beta=90.00 gamma=144.34
Positions (direct):
Na: 0.2131 0.7869 0.7500
Na: 0.7869 0.2131 0.2500
Sn: 0.5000 0.5000 0.0000
Sn: 0.5000 0.5000 0.5000
Te: 0.1573 0.8427 0.0261
Te: 0.1573 0.8427 0.4739
Te: 0.8427 0.1573 0.5261
Te: 0.8427 0.1573 0.9739
Au: 0.1040 0.8960 0.2500
Au: 0.8960 0.1040 0.7500
Se: 0.4657 0.5343 0.2500
Se: 0.5343 0.4657 0.7500


Density functional theory data (PBE-GGA) for a relaxed structure of Sr2W.

Properties
Crystal system = cubic
Energy above the most stable polymorph in this dataset = 1.83 eV/f.u.
Final energy = -3.3062 eV per atom
Space-group type = Fd-3m

Unit cell a=6.2434 b=6.2434 c=6.2434 alpha=60.00 beta=60.00 gamma=60.00
Positions (direct):
Sr: 0.0000 0.0000 0.0000
Sr: 0.0000 0.0000 0.5000
Sr: 0.0000 0.5000 0.0000
Sr: 0.5000 0.0000 0.0000
W: 0.3750 0.3750 0.3750
W: 0.6250 0.6250 0.6250


Density functional theory data (PBE-GGA) for a relaxed structure of BaAgSb2Pt.

Properties
Crystal system = monoclinic
Final energy = -4.5265 eV per atom
Space-group type = P2_1/m

Unit cell a=4.8593 b=4.8542 c=11.0526 alpha=90.00 beta=90.23 gamma=90.00
Positions (direct):
Ba: 0.2471 0.2500 0.2532
Ba: 0.7529 0.7500 0.7468
Ag: 0.2372 0.7500 0.0000
Ag: 0.7628 0.2500 0.0000
Sb: 0.2502 0.7500 0.4999
Sb: 0.2593 0.2500 0.8566
Sb: 0.7407 0.7500 0.1434
Sb: 0.7498 0.2500 0.5001
Pt: 0.2509 0.2500 0.6130
Pt: 0.7491 0.7500 0.3870


Density functional theory data (PBE-GGA) for a relaxed structure of Al2Zn3.

Properties
Crystal system = monoclinic
Energy above the most stable polymorph in this dataset = 0.00 eV/f.u.
Final energy = -2.1621 eV per atom
Space-group type = Cc

Unit cell a=6.2590 b=6.2590 c=5.0068 alpha=99.01 beta=99.01 gamma=59.63
Positions (direct):
Al: 0.1256 0.8744 0.5000
Al: 0.2290 0.5332 0.0295
Al: 0.5332 0.2290 0.5295
Al: 0.8744 0.1256 0.0000
Zn: 0.0900 0.3104 0.3747
Zn: 0.3104 0.0900 0.8747
Zn: 0.5601 0.5947 0.8392
Zn: 0.5947 0.5601 0.3392
Zn: 0.7597 0.8220 0.1834
Zn: 0.8220 0.7597 0.6834


Density functional theory data (PBE-GGA) for a relaxed structure of MgPaBe.

Properties
Crystal system = cubic
Energy above the most stable polymorph in this dataset = 0.00 eV/f.u.
Final energy = -4.3971 eV per atom
Space-group type = F-43m

Unit cell a=4.4877 b=4.4877 c=4.4877 alpha=60.00 beta=60.00 gamma=60.00
Positions (direct):
Mg: 0.0000 0.0000 0.0000
Pa: 0.5000 0.5000 0.5000
Be: 0.2500 0.2500 0.2500


Density functional theory data (PBE-GGA) for a relaxed structure of TaNiGePd.

Properties
Crystal system = cubic
Energy above the most stable polymorph in this dataset = 0.00 eV/f.u.
Final energy = -6.9712 eV per atom
Space-group type = F-43m

Unit cell a=4.3818 b=4.3818 c=4.3818 alpha=60.00 beta=60.00 gamma=60.00
Positions (direct):
Ta: 0.0000 0.0000 0.0000
Ni: 0.5000 0.5000 0.5000
Ge: 0.2500 0.2500 0.2500
Pd: 0.7500 0.7500 0.7500


Density functional theory data (PBE-GGA) for a relaxed structure of PtPbW2.

Properties
Crystal system = cubic
Final energy = -8.1267 eV per atom
Space-group type = F-43m

Unit cell a=4.6648 b=4.6648 c=4.6648 alpha=60.00 beta=60.00 gamma=60.00
Positions (direct):
Pt: 0.0000 0.0000 0.0000
Pb: 0.7500 0.7500 0.7500
W: 0.2500 0.2500 0.2500
W: 0.5000 0.5000 0.5000


Density functional theory data (PBE-GGA) for a relaxed structure of Tl4Pt3.

Properties
Crystal system = cubic
Final energy = -3.6099 eV per atom
Space-group type = Pm-3n

Unit cell a=7.5576 b=7.5576 c=7.5576 alpha=90.00 beta=90.00 gamma=90.00
Positions (direct):
Tl: 0.2500 0.2500 0.2500
Tl: 0.2500 0.2500 0.7500
Tl: 0.2500 0.7500 0.2500
Tl: 0.2500 0.7500 0.7500
Tl: 0.7500 0.2500 0.2500
Tl: 0.7500 0.2500 0.7500
Tl: 0.7500 0.7500 0.2500
Tl: 0.7500 0.7500 0.7500
Pt: 0.0000 0.2500 0.5000
Pt: 0.0000 0.7500 0.5000
Pt: 0.2500 0.5000 0.0000
Pt: 0.5000 0.0000 0.2500
Pt: 0.5000 0.0000 0.7500
Pt: 0.7500 0.5000 0.0000


Density functional theory data (PBE-GGA) for a relaxed structure of Nb2TcPd.

Properties
Crystal system = cubic
Calculated formation energy = 0.03 eV per atom
Final energy = -8.8986 eV per atom
Space-group type = F-43m

Unit cell a=4.5307 b=4.5307 c=4.5307 alpha=60.00 beta=60.00 gamma=60.00
Positions (direct):
Nb: 0.0000 0.0000 0.0000
Nb: 0.2500 0.2500 0.2500
Tc: 0.5000 0.5000 0.5000
Pd: 0.7500 0.7500 0.7500


Density functional theory data (PBE-GGA) for a relaxed structure of Ba2GaNi.

Properties
Crystal system = cubic
Final energy = -2.9419 eV per atom
Space-group type = F-43m

Unit cell a=5.3489 b=5.3489 c=5.3489 alpha=60.00 beta=60.00 gamma=60.00
Positions (direct):
Ba: 0.0000 0.0000 0.0000
Ba: 0.2500 0.2500 0.2500
Ga: 0.5000 0.5000 0.5000
Ni: 0.7500 0.7500 0.7500